The following is a PBE-GGA calculation of a relaxed LiCa8 crystal, from Alexandria via LeMat-Bulk.

a b c (Å): 4.2023 9.4693 9.4693
angles (deg): 87.30 77.18 77.18
Closest atoms and distances in Å follow each position.
Fractional coordinates of all 9 atoms:
Ca: 0.3418 0.0000 0.3163  2 Li 3.60, 6 Ca 3.74-3.99
Ca: 0.0000 0.6649 0.3351  8 Ca 3.70-3.74
Ca: 0.3418 0.3163 0.0000  2 Li 3.60, 6 Ca 3.74-3.99
Ca: 0.0000 0.3351 0.6649  8 Ca 3.70-3.74
Ca: 0.3352 0.6648 0.6648  8 Ca 3.70-3.74
Ca: 0.6582 0.6837 0.0000  2 Li 3.60, 6 Ca 3.74-3.99
Ca: 0.6648 0.3352 0.3352  8 Ca 3.70-3.74
Ca: 0.6582 0.0000 0.6837  2 Li 3.60, 6 Ca 3.74-3.99
Li: 0.0000 0.0000 0.0000  8 Ca 3.60

Properties
- energy relative to the elements (eV/atom) = 0.03
- total DFT energy (no corrections) (eV per atom) = -1.961